No. 1
## PaTlCu2O6 (PBE)

Data for a relaxed PaTlCu2O6 crystal.

Cell lengths 10.8676, 9.0540, 5.6528 Å; angles 90.00, 101.98, 90.00 degrees
Space group C2/c (No. 15)
Unique sites:
Pa (0.0000, 0.1618, 0.2500) x4
Tl (0.0000, 0.4105, 0.7500) x4
Cu (0.2144, 0.0993, 0.7707) x8
O (0.1071, 0.3815, 0.1254) x8
O (0.1167, 0.2486, 0.5696) x8
O (0.1233, 0.0462, 0.0286) x8

Summary:
The density of states at the Fermi level is 14.25 states/eV/cell. For the total magnetic moment, the calculation gives 2.039 μB per formula unit. The uncorrected formation energy comes out at -1.463 eV/atom. The value obtained for the mass density is 8.04 Mg/m³.

***

No. 2
## PaTl3Cu4O12 (PBE)

Data for a relaxed PaTl3Cu4O12 crystal.

Cell lengths 10.8939, 10.8939, 8.6751 Å; angles 90.00, 90.00, 120.00 degrees
Space group R32 (No. 155, hexagonal axes)
Unique sites:
Pa (0.0000, 0.0000, 0.0000) x3
Tl (0.0000, 0.5672, 0.0000) x9
Cu (0.0000, 0.0000, 0.5000) x3
Cu (0.0000, 0.4179, 0.5000) x9
O (0.0000, 0.5838, 0.5000) x9
O (0.0000, 0.8366, 0.5000) x9
O (0.0373, 0.1788, 0.1602) x18

Summary:
The density of states at the Fermi level is 21.27 states/eV/cell. For the total magnetic moment, the calculation gives 0.149 μB per formula unit. The uncorrected formation energy comes out at -0.834 eV/atom. The value obtained for the mass density is 7.21 Mg/m³.

***

No. 3
## PaTlCuO5 (PBE)

Data for a relaxed PaTlCuO5 crystal.

Cell lengths 7.1613, 9.2991, 8.5324 Å; angles 90.00, 110.72, 90.00 degrees
Space group C2/c (No. 15)
Unique sites:
Pa (0.0000, 0.0000, 0.0000) x4
Tl (0.0000, 0.3247, 0.2500) x4
Cu (0.0000, 0.3427, 0.7500) x4
O (0.0000, 0.1012, 0.2500) x4
O (0.0045, 0.2043, 0.5828) x8
O (0.1628, 0.4945, 0.8920) x8

Summary:
The density of states at the Fermi level is 0.17 states/eV/cell. For the total magnetic moment, the calculation gives 1.010 μB per formula unit. The uncorrected formation energy comes out at -1.741 eV/atom. The value obtained for the mass density is 7.24 Mg/m³.

***

No. 4
## PaTl3Cu2O6 (PBE)

Data for a relaxed PaTl3Cu2O6 crystal.

Cell lengths 6.2035, 6.2035, 7.2537 Å; angles 90.00, 90.00, 120.00 degrees
Space group P-3m1 (No. 164)
Unique sites:
Pa (0.0000, 0.0000, 0.0000) x1
Tl (0.0000, 0.0000, 0.5000) x1
Tl (0.3333, 0.6667, 0.2272) x2
Cu (0.3333, 0.6667, 0.8131) x2
O (0.1608, 0.3216, 0.8168) x6

Summary:
The density of states at the Fermi level is 7.27 states/eV/cell. For the total magnetic moment, the calculation gives 1.817 μB per formula unit. The uncorrected formation energy comes out at -1.355 eV/atom. The value obtained for the mass density is 7.33 Mg/m³.

***

No. 5
## PaTlCu2O8 (PBE)

Data for a relaxed PaTlCu2O8 crystal.

Cell lengths 7.0178, 7.0178, 6.6829 Å; angles 90.00, 90.00, 90.00 degrees
Space group I-4m2 (No. 119)
Unique sites:
Pa (0.0000, 0.0000, 0.0000) x2
Tl (0.0000, 0.5000, 0.7500) x2
Cu (0.0000, 0.0000, 0.5000) x2
Cu (0.0000, 0.5000, 0.2500) x2
O (0.0000, 0.1707, 0.7055) x8
O (0.0000, 0.3151, 0.0502) x8

Summary:
The density of states at the Fermi level is 15.10 states/eV/cell. For the total magnetic moment, the calculation gives 2.140 μB per formula unit. The uncorrected formation energy comes out at -1.057 eV/atom. The value obtained for the mass density is 6.97 Mg/m³.

***

No. 6
## TmPaCu2O8 (PBE)

Data for a relaxed TmPaCu2O8 crystal.

Cell lengths 7.0949, 7.0949, 6.4380 Å; angles 90.00, 90.00, 90.00 degrees
Space group I-4m2 (No. 119)
Unique sites:
Tm (0.0000, 0.0000, 0.0000) x2
Pa (0.0000, 0.5000, 0.2500) x2
Cu (0.0000, 0.0000, 0.5000) x2
Cu (0.0000, 0.5000, 0.7500) x2
O (0.0000, 0.1834, 0.2967) x8
O (0.0000, 0.3213, 0.9575) x8

Summary:
The density of states at the Fermi level is 14.52 states/eV/cell. For the total magnetic moment, the calculation gives 0.204 μB per formula unit. The uncorrected formation energy comes out at -1.747 eV/atom. The value obtained for the mass density is 6.71 Mg/m³.

***

No. 7
## UPaCuO6 (PBE)

Data for a relaxed UPaCuO6 crystal.

Cell lengths 5.8874, 5.8874, 8.9606 Å; angles 90.00, 90.00, 120.00 degrees
Space group P-31c (No. 163)
Unique sites:
U (0.3333, 0.6667, 0.2500) x2
Pa (0.3333, 0.6667, 0.7500) x2
Cu (0.0000, 0.0000, 0.0000) x2
O (0.0111, 0.3640, 0.1366) x12

Summary:
The density of states at the Fermi level is 6.63 states/eV/cell. For the total magnetic moment, the calculation gives 0.066 μB per formula unit. The uncorrected formation energy comes out at -2.609 eV/atom. The value obtained for the mass density is 7.76 Mg/m³.

***

No. 8
## UPaCu2O8 (PBE)

Data for a relaxed UPaCu2O8 crystal.

Cell lengths 6.7715, 6.7715, 6.9122 Å; angles 90.00, 90.00, 90.00 degrees
Space group I-4m2 (No. 119)
Unique sites:
U (0.0000, 0.0000, 0.0000) x2
Pa (0.0000, 0.5000, 0.2500) x2
Cu (0.0000, 0.0000, 0.5000) x2
Cu (0.0000, 0.5000, 0.7500) x2
O (0.0000, 0.1863, 0.2979) x8
O (0.0000, 0.3028, 0.9503) x8

Summary:
The density of states at the Fermi level is 15.22 states/eV/cell. For the total magnetic moment, the calculation gives 2.751 μB per formula unit. The uncorrected formation energy comes out at -2.125 eV/atom. The value obtained for the mass density is 7.59 Mg/m³.